ZrPb2Au: relaxed, PBE.

Cell and atoms, written as POSCAR:
```
ZrPb2Au
1.0
3.1941 0.0000 0.0000
0.0000 5.2701 0.0000
-0.2878 0.0000 5.8070
Zr Pb Au
1 2 1
Direct
0.0000 0.0000 0.0000
0.3004 0.5000 0.7503
0.6996 0.5000 0.2497
0.5000 0.0000 0.5000
```

Computed properties:
As for the calculated total energy: -4.75 eV/atom. For the spin magnetization, the calculation gives 0.00 μB/cell. The space group is P2/m (10). The density of states at the Fermi level is 2.8 states/eV/cell.



ZrAsPd: relaxed, PBE.

Cell and atoms, written as POSCAR:
```
ZrAsPd
1.0
3.9416 0.0000 0.0000
0.0000 19.6782 0.0000
0.0000 0.0000 6.7856
Zr As Pd
10 10 10
Direct
0.2500 0.0680 0.0283
0.2500 0.1280 0.5418
0.2500 0.2500 0.1545
0.2500 0.3720 0.5418
0.2500 0.4320 0.0283
0.7500 0.5680 0.9717
0.7500 0.6280 0.4582
0.7500 0.7500 0.8455
0.7500 0.8720 0.4582
0.7500 0.9320 0.9717
0.2500 0.2500 0.7470
0.2500 0.5526 0.2588
0.2500 0.6513 0.7566
0.2500 0.8487 0.7566
0.2500 0.9474 0.2588
0.7500 0.0526 0.7412
0.7500 0.1513 0.2434
0.7500 0.3487 0.2434
0.7500 0.4474 0.7412
0.7500 0.7500 0.2530
0.2500 0.5280 0.6471
0.2500 0.6738 0.1207
0.2500 0.7500 0.5119
0.2500 0.8262 0.1207
0.2500 0.9720 0.6471
0.7500 0.0280 0.3529
0.7500 0.1738 0.8793
0.7500 0.2500 0.4881
0.7500 0.3262 0.8793
0.7500 0.4720 0.3529
```

Computed properties:
As for the calculated total energy: -7.05 eV/atom. For the spin magnetization, the calculation gives 0.00 μB/cell. The space group is Pmmn (59). The density of states at the Fermi level is 15.8 states/eV/cell.



CsTe2CN: relaxed, PBE.

Cell and atoms, written as POSCAR:
```
CsTe2CN
1.0
4.7097 0.0000 0.0000
0.0000 4.7097 0.0000
0.0000 0.0000 6.6477
Cs Te C N
1 2 1 1
Direct
0.0000 0.0000 0.0000
0.0000 0.5000 0.5000
0.5000 0.0000 0.5000
0.5000 0.5000 0.5000
0.5000 0.5000 0.0000
```

Computed properties:
As for the calculated total energy: -3.44 eV/atom. For the spin magnetization, the calculation gives 2.03 μB/cell. The space group is P4/mmm (123). The energy relative to the elements, uncorrected comes out at 1.4968 eV per atom. The density of states at the Fermi level is 3.5 states/eV/cell.



MgTa2P: relaxed, PBE.

Cell and atoms, written as POSCAR:
```
MgTa2P
1.0
1.6026 0.9253 8.3445
-1.6026 0.9253 8.3445
0.0000 -1.8505 8.3445
Mg Ta P
1 2 1
Direct
0.0000 0.0000 0.0000
0.5196 0.5196 0.5196
0.7666 0.7666 0.7666
0.2541 0.2541 0.2541
```

Computed properties:
As for the calculated total energy: -7.69 eV/atom. For the spin magnetization, the calculation gives 0.00 μB/cell. The space group is R3m (160). The density of states at the Fermi level is 4.7 states/eV/cell.